# PBE SnHg2Ru, optimized geometry
data_SnHg2Ru
_chemical_formula_sum 'Sn4 Hg8 Ru4'
_symmetry_space_group_name_H-M 'P 1'
_symmetry_Int_Tables_number 1
_cell_length_a 8.944
_cell_length_b 8.944
_cell_length_c 5.161
_cell_angle_alpha 90.00
_cell_angle_beta 90.00
_cell_angle_gamma 90.00
loop_
_symmetry_equiv_pos_as_xyz
'x,y,z'
loop_
_atom_site_label
_atom_site_fract_x
_atom_site_fract_y
_atom_site_fract_z
_atom_site_occupancy
Sn1 0.000 0.000 0.000 1
Sn2 0.000 0.500 0.250 1
Sn3 0.500 0.000 0.750 1
Sn4 0.500 0.500 0.500 1
Hg1 0.155 0.250 0.625 1
Hg2 0.250 0.655 0.875 1
Hg3 0.250 0.845 0.375 1
Hg4 0.345 0.250 0.125 1
Hg5 0.655 0.750 0.125 1
Hg6 0.750 0.155 0.375 1
Hg7 0.750 0.345 0.875 1
Hg8 0.845 0.750 0.625 1
Ru1 0.000 0.000 0.500 1
Ru2 0.000 0.500 0.750 1
Ru3 0.500 0.000 0.250 1
Ru4 0.500 0.500 0.000 1
# * formation energy from the elements: 43.2 kJ/mol of atoms
# * energy: -3.023 eV per atom
# * calculated volume: 412.9 Å³ per cell